# 1
First-principles (PBE) data for a relaxed Y2BeW crystal, as listed in Alexandria via LeMat-Bulk.

```
Y2BeW
1.0
5.747 -0.003 0.010
4.619 3.421 0.010
1.909 0.629 4.246
Y Be W
2 1 1
direct
0.013 0.013 0.987 Y
0.222 0.222 0.278 Y
0.461 0.461 0.539 Be
0.804 0.804 0.696 W
```

Results
D(E_F) = 2.35 states/eV per cell
calculated volume = 83 Å³/cell
total magnetic moment = 0.00 μB/cell
SG = Imm2 (44)
ΔE_f = 0.35 eV/atom



# 2
First-principles (PBE) data for a relaxed PmSm3Mg3 crystal, as listed in Alexandria via LeMat-Bulk.

```
PmSm3Mg3
1.0
-2.483 4.843 -3.555
-3.892 -5.207 0.013
-4.765 3.848 8.957
Pm Sm Mg
2 6 6
direct
0.711 0.711 0.988 Pm
0.289 0.289 0.012 Pm
0.541 0.541 0.336 Sm
0.175 0.825 0.500 Sm
0.825 0.175 0.500 Sm
0.228 0.772 0.000 Sm
0.772 0.228 0.000 Sm
0.459 0.459 0.664 Sm
0.001 0.001 0.243 Mg
0.982 0.499 0.750 Mg
0.499 0.982 0.750 Mg
0.018 0.501 0.250 Mg
0.501 0.018 0.250 Mg
0.999 0.999 0.757 Mg
```

Results
D(E_F) = 19.16 states/eV per cell
calculated volume = 426 Å³/cell
total magnetic moment = 1.79 μB/cell
SG = C2/m (12)
ΔE_f = 0.09 eV/atom